No. 1
This record from Alexandria via LeMat-Bulk describes YSb2TeAs after structural relaxation. The functional is PBE.

E_form (uncorrected)   0.13 eV per atom
Energy above the lowest structure with this stoichiometry   0.00 eV per formula unit
DOS(E_F)   0.68 states/eV per atom
Volume   30.604 Å³/atom

Cell: 5.286 5.286 5.476 Å, 90.00 90.00 90.00°
Space group P4/mmm (No. 123)
Asymmetric unit:
Y  0.000  0.000  0.000 [1 per cell]
Sb  0.000  0.500  0.500 [2 per cell]
Te  0.500  0.500  0.000 [1 per cell]
As  0.500  0.500  0.500 [1 per cell]

---

No. 2
This record from Alexandria via LeMat-Bulk describes Y6Sb2TeAs3 after structural relaxation. The functional is PBE.

E_form (uncorrected)   -1.42 eV per atom
DOS(E_F)   0.19 states/eV per atom
Volume   27.174 Å³/atom

Cell: 18.572 4.232 8.549 Å, 90.00 103.93 90.00°
Space group C2/m (No. 12)
Asymmetric unit:
Y  0.004  0.000  0.233 [4 per cell]
Y  0.163  0.500  0.093 [4 per cell]
Y  0.173  0.500  0.575 [4 per cell]
Sb  0.166  0.000  0.832 [4 per cell]
Te  0.000  0.500  0.500 [2 per cell]
As  0.000  0.500  0.000 [2 per cell]
As  0.165  0.000  0.333 [4 per cell]

---

No. 3
This record from Alexandria via LeMat-Bulk describes Y4SbTeAs2 after structural relaxation. The functional is PBE.

E_form (uncorrected)   -1.45 eV per atom
DOS(E_F)   0.20 states/eV per atom
Volume   27.129 Å³/atom

Cell: 7.327 4.229 7.414 Å, 90.00 109.12 90.00°
Space group P2/m (No. 10)
Asymmetric unit:
Y  0.237  0.000  0.226 [2 per cell]
Y  0.253  0.500  0.771 [2 per cell]
Sb  0.000  0.000  0.500 [1 per cell]
Te  0.500  0.500  0.500 [1 per cell]
As  0.000  0.500  0.000 [1 per cell]
As  0.500  0.000  0.000 [1 per cell]

---

No. 4
This record from Alexandria via LeMat-Bulk describes Y4SbTe2As after structural relaxation. The functional is PBE.

E_form (uncorrected)   -1.39 eV per atom
DOS(E_F)   0.47 states/eV per atom
Volume   28.503 Å³/atom

Cell: 7.464 4.292 7.537 Å, 90.00 109.19 90.00°
Space group P2/m (No. 10)
Asymmetric unit:
Y  0.229  0.000  0.223 [2 per cell]
Y  0.244  0.500  0.770 [2 per cell]
Sb  0.500  0.000  0.000 [1 per cell]
Te  0.000  0.000  0.500 [1 per cell]
Te  0.500  0.500  0.500 [1 per cell]
As  0.000  0.500  0.000 [1 per cell]